# PrW2O6 PBE with a Hubbard U optimized geometry
# E_tot: -7.79 eV per atom
data_PrW2O6
_chemical_formula_sum 'Pr2 W4 O12'
_cell_length_a 5.560
_cell_length_b 5.712
_cell_length_c 7.967
_cell_angle_alpha 90.49
_cell_angle_beta 90.42
_cell_angle_gamma 90.01
_symmetry_space_group_name_H-M 'P 1'
_symmetry_Int_Tables_number 1
_symmetry_space_group_name_Hall 'P 1'
loop_
_atom_site_label
_atom_site_type_symbol
_atom_site_fract_x
_atom_site_fract_y
_atom_site_fract_z
Pr1 Pr 0.000 0.000 0.000
Pr2 Pr 0.498 0.395 0.498
W1 W 0.008 0.457 0.749
W2 W 0.009 0.458 0.247
W3 W 0.508 0.943 0.751
W4 W 0.511 0.941 0.252
O1 O 0.072 0.426 0.000
O2 O 0.230 0.171 0.283
O3 O 0.233 0.174 0.714
O4 O 0.293 0.644 0.295
O5 O 0.319 0.666 0.705
O6 O 0.421 0.934 0.999
O7 O 0.574 0.973 0.501
O8 O 0.722 0.213 0.785
O9 O 0.741 0.239 0.220
O10 O 0.807 0.746 0.797
O11 O 0.808 0.746 0.204
O12 O 0.920 0.467 0.499